A relaxed LiCoPO4 crystal, computed with GGA+U.

abc: 7.7277 8.5646 14.9999
angles: 88.24 89.99 80.63
Closest atoms and distances in Å follow each position.
Space group P-1 (No. 2)
One atom of each set of equivalent atoms:
Li (0.1788, 0.4023, 0.0591) [2 per cell]  3 O 1.89-2.08
Li (0.2086, 0.4081, 0.7545) [2 per cell]  3 O 1.94-1.99
Li (0.2238, 0.9119, 0.2758) [2 per cell]  3 O 1.90-2.03
Li (0.2601, 0.4588, 0.4083) [2 per cell]  4 O 1.98-2.10
Li (0.2638, 0.8846, 0.5725) [2 per cell]  4 O 1.96-2.11
Li (0.2862, 0.9509, 0.9059) [2 per cell]  4 O 1.92-2.00
Co (0.0360, 0.2432, 0.5684) [2 per cell]  4 O 2.00-2.06
Co (0.0656, 0.8178, 0.0957) [2 per cell]  4 O 1.97-2.03
Co (0.1633, 0.2956, 0.2378) [2 per cell]  4 O 1.92-2.07
Co (0.3830, 0.7098, 0.7565) [2 per cell]  4 O 1.96-2.08
Co (0.4018, 0.2706, 0.9230) [2 per cell]  4 O 1.93-1.96
Co (0.4746, 0.2467, 0.5875) [2 per cell]  5 O 2.00-2.17
P (0.1512, 0.6215, 0.9134) [2 per cell]  4 O 1.54-1.58
P (0.1794, 0.0855, 0.7246) [2 per cell]  4 O 1.55-1.58
P (0.1805, 0.5548, 0.5869) [2 per cell]  4 O 1.55-1.57
P (0.3191, 0.0511, 0.0902) [2 per cell]  4 O 1.55-1.56
P (0.3244, 0.1081, 0.4240) [2 per cell]  4 O 1.55-1.56
P (0.3795, 0.6001, 0.2328) [2 per cell]  4 O 1.54-1.60
O (0.0018, 0.0932, 0.6746) [2 per cell]  1 P 1.55
O (0.0137, 0.4750, 0.6022) [2 per cell]  1 P 1.57
O (0.0222, 0.5706, 0.8421) [2 per cell]  1 P 1.58
O (0.0332, 0.6881, 0.9916) [2 per cell]  1 P 1.55
O (0.1433, 0.7115, 0.5307) [2 per cell]  1 P 1.55
O (0.1473, 0.1161, 0.8271) [2 per cell]  1 P 1.58
O (0.1998, 0.0830, 0.5024) [2 per cell]  1 P 1.55
O (0.2009, 0.9654, 0.0306) [2 per cell]  1 P 1.56
O (0.2220, 0.7098, 0.1904) [2 per cell]  1 P 1.54
O (0.2264, 0.0861, 0.1811) [2 per cell]  1 P 1.56
O (0.2335, 0.2439, 0.3596) [2 per cell]  1 P 1.56
O (0.2470, 0.5901, 0.6808) [2 per cell]  1 P 1.55
O (0.2572, 0.7424, 0.8720) [2 per cell]  1 P 1.54
O (0.2660, 0.2202, 0.6811) [2 per cell]  1 P 1.55
O (0.2749, 0.4754, 0.9528) [2 per cell]  1 P 1.55
O (0.2950, 0.9236, 0.7095) [2 per cell]  1 P 1.55
O (0.3201, 0.4384, 0.5369) [2 per cell]  1 P 1.55
O (0.3478, 0.2109, 0.0457) [2 per cell]  1 P 1.55
O (0.3696, 0.4191, 0.2148) [2 per cell]  1 P 1.60
O (0.3721, 0.9538, 0.3719) [2 per cell]  1 P 1.55
O (0.3796, 0.6201, 0.3347) [2 per cell]  1 P 1.54
O (0.4464, 0.3662, 0.8089) [2 per cell]  1 P 1.55
O (0.4891, 0.1664, 0.4619) [2 per cell]  1 P 1.55
O (0.4994, 0.0541, 0.8952) [2 per cell]  1 P 1.55

Computed properties:
Energy above the lowest structure with this stoichiometry: 0.109 eV/atom
Magnetization: 1.0 μB per formula unit